{
  "formula": "LaPb5",
  "functional": "PBE",
  "state": "optimized geometry",
  "total_energy_ev_per_cell": -24.07,
  "de_polymorph_mev_per_atom": 124,
  "e_form_ev_per_atom": -0.100,
  "cell": [[0.000, 4.608, 4.608], [4.608, 0.000, 4.608], [4.608, 4.608, 0.000]],
  "species": ["La", "Pb", "Pb", "Pb", "Pb", "Pb"],
  "fractional_positions": [[0.000, 0.000, 0.000], [0.250, 0.250, 0.250], [0.625, 0.625, 0.625], [0.625, 0.625, 0.125], [0.125, 0.625, 0.625], [0.625, 0.125, 0.625]]
}